# ZrSnBiO6 | the Alexandria database | GGA-PBE | relaxed
data_ZrSnBiO6
_chemical_formula_sum 'Zr2 Sn2 Bi2 O12'
_space_group_name_H-M_alt 'P 1'
_space_group_IT_number 1
_cell_length_a 4.9752
_cell_length_b 4.9752
_cell_length_c 10.1547
_cell_angle_alpha 90.00
_cell_angle_beta 90.00
_cell_angle_gamma 90.00
loop_
_space_group_symop_operation_xyz
'x,y,z'
loop_
_atom_site_label
_atom_site_type_symbol
_atom_site_fract_x
_atom_site_fract_y
_atom_site_fract_z
Zr1 Zr 0.0000 0.0000 0.0000
Zr2 Zr 0.5000 0.5000 0.5000
Sn1 Sn 0.0000 0.0000 0.6609
Sn2 Sn 0.5000 0.5000 0.1609
Bi1 Bi 0.0000 0.0000 0.3305
Bi2 Bi 0.5000 0.5000 0.8305
O1 O 0.1801 0.1801 0.8266
O2 O 0.1972 0.1972 0.5062
O3 O 0.2022 0.2022 0.1517
O4 O 0.2978 0.7022 0.6517
O5 O 0.3028 0.6972 0.0062
O6 O 0.3199 0.6801 0.3266
O7 O 0.6801 0.3199 0.3266
O8 O 0.6972 0.3028 0.0062
O9 O 0.7022 0.2978 0.6517
O10 O 0.7978 0.7978 0.1517
O11 O 0.8028 0.8028 0.5062
O12 O 0.8199 0.8199 0.8266
# M_tot	0.0	μB per cell
# ΔE_f (raw)	-1.933	eV per atom
# symmetry	No. 102
# uncorrected energy	-0.25959	hartree per atom